Here is Pm8P3HSe4 after structural relaxation from Alexandria via LeMat-Bulk. Energies are from PBE.

Output
Electronic total energy = -6.05 eV/atom
Density of states at the Fermi level = 7.1 states/eV/f.u.
Space group = R-3m (166)

abc: 8.219 8.312 8.219
angles: 119.63 120.00 90.00
Element x y z (fractional)
Pm (0.751, 0.264, 0.503)
Pm (0.738, 0.736, 0.987)
Pm (0.262, 0.264, 0.013)
Pm (0.249, 0.736, 0.987)
Pm (0.249, 0.736, 0.497)
Pm (0.257, 0.271, 0.514)
Pm (0.743, 0.729, 0.486)
Pm (0.751, 0.264, 0.013)
H (0.000, 0.500, 0.000)
P (0.500, 0.500, 0.000)
P (0.000, 0.500, 0.500)
P (0.500, 0.500, 0.500)
Se (0.500, 0.000, 0.500)
Se (0.000, 0.000, 0.000)
Se (0.000, 0.000, 0.500)
Se (0.500, 0.000, 0.000)